# TbPmAsP GGA-PBE relaxed
data_TbPmAsP
_cell_length_a 4.1398
_cell_length_b 4.1398
_cell_length_c 5.8409
_cell_angle_alpha 90.00
_cell_angle_beta 90.00
_cell_angle_gamma 90.00
_space_group_name_H-M_alt 'P 4/m m m'
_space_group_IT_number 123
_space_group_name_Hall '-P 4 2'
loop_
_atom_site_label
_atom_site_type_symbol
_atom_site_fract_x
_atom_site_fract_y
_atom_site_fract_z
_atom_site_occupancy
Tb1 Tb 0.0000 0.0000 0.0000 1
Pm1 Pm 0.5000 0.5000 0.5000 1
As1 As 0.0000 0.0000 0.5000 1
P1 P 0.5000 0.5000 0.0000 1
# calculated density: 6.80 g/cm³
# electronic total energy: -6.401 eV/atom

# PmMg3Sn3 GGA-PBE relaxed
data_PmMg3Sn3
_cell_length_a 8.3596
_cell_length_b 8.3596
_cell_length_c 19.9276
_cell_angle_alpha 90.00
_cell_angle_beta 90.00
_cell_angle_gamma 120.00
_space_group_name_H-M_alt 'R -3'
_space_group_IT_number 148
_space_group_name_Hall '-R 3'
loop_
_atom_site_label
_atom_site_type_symbol
_atom_site_fract_x
_atom_site_fract_y
_atom_site_fract_z
_atom_site_occupancy
Pm1 Pm 0.0000 0.0000 0.1668 1
Mg1 Mg 0.0053 0.6535 0.3849 1
Sn1 Sn 0.0031 0.6958 0.5664 1
# distance to the lowest polymorph of the same formula: 0.02 eV per formula unit
# calculated density: 4.74 g/cm³
# electronic total energy: -3.267 eV/atom

# TaTl4Mo GGA-PBE relaxed
data_TaTl4Mo
_cell_length_a 8.4606
_cell_length_b 8.4606
_cell_length_c 8.4606
_cell_angle_alpha 90.00
_cell_angle_beta 90.00
_cell_angle_gamma 90.00
_space_group_name_H-M_alt 'F -4 3 m'
_space_group_IT_number 216
_space_group_name_Hall 'F -4 2 3'
loop_
_atom_site_label
_atom_site_type_symbol
_atom_site_fract_x
_atom_site_fract_y
_atom_site_fract_z
_atom_site_occupancy
Ta1 Ta 0.0000 0.0000 0.0000 1
Tl1 Tl 0.1250 0.1250 0.6250 1
Mo1 Mo 0.2500 0.2500 0.2500 1
# calculated density: 12.00 g/cm³
# electronic total energy: -4.001 eV/atom

# SrTc2Mo GGA-PBE relaxed
data_SrTc2Mo
_cell_length_a 3.1445
_cell_length_b 4.6162
_cell_length_c 4.9171
_cell_angle_alpha 90.00
_cell_angle_beta 90.00
_cell_angle_gamma 90.00
_space_group_name_H-M_alt 'P m m m'
_space_group_IT_number 47
_space_group_name_Hall '-P 2 2'
loop_
_atom_site_label
_atom_site_type_symbol
_atom_site_fract_x
_atom_site_fract_y
_atom_site_fract_z
_atom_site_occupancy
Sr1 Sr 0.0000 0.0000 0.0000 1
Tc1 Tc 0.0000 0.5000 0.5000 1
Tc2 Tc 0.5000 0.5000 0.0000 1
Mo1 Mo 0.5000 0.0000 0.5000 1
# distance to the lowest polymorph of the same formula: 2.39 eV per formula unit
# calculated density: 8.83 g/cm³
# electronic total energy: -7.212 eV/atom

# V3RuW2 GGA-PBE relaxed
data_V3RuW2
_cell_length_a 3.0561
_cell_length_b 3.0561
_cell_length_c 9.2230
_cell_angle_alpha 90.00
_cell_angle_beta 90.00
_cell_angle_gamma 90.00
_space_group_name_H-M_alt 'P 4/m m m'
_space_group_IT_number 123
_space_group_name_Hall '-P 4 2'
loop_
_atom_site_label
_atom_site_type_symbol
_atom_site_fract_x
_atom_site_fract_y
_atom_site_fract_z
_atom_site_occupancy
V1 V 0.0000 0.0000 0.0000 1
V2 V 0.0000 0.0000 0.3350 1
Ru1 Ru 0.5000 0.5000 0.5000 1
W1 W 0.5000 0.5000 0.1688 1
# calculated density: 11.98 g/cm³
# electronic total energy: -10.606 eV/atom

# CeDyTl GGA-PBE relaxed
data_CeDyTl
_cell_length_a 3.5511
_cell_length_b 3.5511
_cell_length_c 14.1137
_cell_angle_alpha 90.00
_cell_angle_beta 90.00
_cell_angle_gamma 90.00
_space_group_name_H-M_alt 'I 4 m m'
_space_group_IT_number 107
_space_group_name_Hall 'I 4 -2'
loop_
_atom_site_label
_atom_site_type_symbol
_atom_site_fract_x
_atom_site_fract_y
_atom_site_fract_z
_atom_site_occupancy
Ce1 Ce 0.0000 0.0000 0.0000 1
Dy1 Dy 0.0000 0.0000 0.6857 1
Tl1 Tl 0.0000 0.0000 0.3374 1
# distance to the lowest polymorph of the same formula: 0.19 eV per formula unit
# calculated density: 9.46 g/cm³
# electronic total energy: -4.422 eV/atom

# TlCuHg2Se GGA-PBE relaxed
data_TlCuHg2Se
_cell_length_a 5.2767
_cell_length_b 5.2767
_cell_length_c 4.8862
_cell_angle_alpha 90.00
_cell_angle_beta 90.00
_cell_angle_gamma 90.00
_space_group_name_H-M_alt 'P 4/m m m'
_space_group_IT_number 123
_space_group_name_Hall '-P 4 2'
loop_
_atom_site_label
_atom_site_type_symbol
_atom_site_fract_x
_atom_site_fract_y
_atom_site_fract_z
_atom_site_occupancy
Tl1 Tl 0.0000 0.0000 0.0000 1
Cu1 Cu 0.5000 0.5000 0.5000 1
Hg1 Hg 0.0000 0.5000 0.5000 1
Se1 Se 0.5000 0.5000 0.0000 1
# calculated density: 9.13 g/cm³
# formation energy (no corrections): -0.08 eV/f.u.
# electronic total energy: -2.125 eV/atom

# Si2TcMo GGA-PBE relaxed
data_Si2TcMo
_cell_length_a 3.0652
_cell_length_b 3.8806
_cell_length_c 4.8135
_cell_angle_alpha 90.00
_cell_angle_beta 90.00
_cell_angle_gamma 90.00
_space_group_name_H-M_alt 'P m m m'
_space_group_IT_number 47
_space_group_name_Hall '-P 2 2'
loop_
_atom_site_label
_atom_site_type_symbol
_atom_site_fract_x
_atom_site_fract_y
_atom_site_fract_z
_atom_site_occupancy
Si1 Si 0.0000 0.0000 0.0000 1
Si2 Si 0.5000 0.0000 0.5000 1
Tc1 Tc 0.0000 0.5000 0.5000 1
Mo1 Mo 0.5000 0.5000 0.0000 1
# distance to the lowest polymorph of the same formula: 1.47 eV per formula unit
# calculated density: 7.25 g/cm³
# formation energy (no corrections): -0.33 eV/f.u.
# electronic total energy: -8.093 eV/atom

# BeIrRu GGA-PBE relaxed
data_BeIrRu
_cell_length_a 5.4105
_cell_length_b 5.4105
_cell_length_c 5.4105
_cell_angle_alpha 90.00
_cell_angle_beta 90.00
_cell_angle_gamma 90.00
_space_group_name_H-M_alt 'F -4 3 m'
_space_group_IT_number 216
_space_group_name_Hall 'F -4 2 3'
loop_
_atom_site_label
_atom_site_type_symbol
_atom_site_fract_x
_atom_site_fract_y
_atom_site_fract_z
_atom_site_occupancy
Be1 Be 0.0000 0.0000 0.0000 1
Ir1 Ir 0.2500 0.2500 0.2500 1
Ru1 Ru 0.2500 0.2500 0.7500 1
# distance to the lowest polymorph of the same formula: 1.39 eV per formula unit
# calculated density: 12.68 g/cm³
# electronic total energy: -7.093 eV/atom

# CeTmFe GGA-PBE relaxed
data_CeTmFe
_cell_length_a 3.3066
_cell_length_b 3.3066
_cell_length_c 12.5691
_cell_angle_alpha 90.00
_cell_angle_beta 90.00
_cell_angle_gamma 90.00
_space_group_name_H-M_alt 'I 4 m m'
_space_group_IT_number 107
_space_group_name_Hall 'I 4 -2'
loop_
_atom_site_label
_atom_site_type_symbol
_atom_site_fract_x
_atom_site_fract_y
_atom_site_fract_z
_atom_site_occupancy
Ce1 Ce 0.0000 0.0000 0.0000 1
Tm1 Tm 0.0000 0.0000 0.7431 1
Fe1 Fe 0.0000 0.0000 0.3769 1
# distance to the lowest polymorph of the same formula: 0.42 eV per formula unit
# calculated density: 8.82 g/cm³
# electronic total energy: -6.247 eV/atom

# BiHW2 GGA-PBE relaxed
data_BiHW2
_cell_length_a 5.1564
_cell_length_b 5.1564
_cell_length_c 10.0831
_cell_angle_alpha 90.00
_cell_angle_beta 90.00
_cell_angle_gamma 90.00
_space_group_name_H-M_alt 'I -4 2 d'
_space_group_IT_number 122
_space_group_name_Hall 'I -4 2bw'
loop_
_atom_site_label
_atom_site_type_symbol
_atom_site_fract_x
_atom_site_fract_y
_atom_site_fract_z
_atom_site_occupancy
Bi1 Bi 0.0000 0.0000 0.0000 1
H1 H 0.0000 0.0000 0.5000 1
W1 W 0.0408 0.2500 0.6250 1
# distance to the lowest polymorph of the same formula: 0.00 eV per formula unit
# calculated density: 14.31 g/cm³
# electronic total energy: -7.391 eV/atom

# Nb3In2Br9 GGA-PBE relaxed
data_Nb3In2Br9
_cell_length_a 11.0278
_cell_length_b 17.2907
_cell_length_c 10.2150
_cell_angle_alpha 90.00
_cell_angle_beta 115.51
_cell_angle_gamma 90.00
_space_group_name_H-M_alt 'C 1 2/m 1'
_space_group_IT_number 12
_space_group_name_Hall '-C 2y'
loop_
_atom_site_label
_atom_site_type_symbol
_atom_site_fract_x
_atom_site_fract_y
_atom_site_fract_z
_atom_site_occupancy
Nb1 Nb 0.1146 0.0000 0.3791 1
Nb2 Nb 0.1257 0.0858 0.6373 1
In1 In 0.1076 0.3410 0.8365 1
Br1 Br 0.0000 0.2111 0.5000 1
Br2 Br 0.0147 0.1053 0.8153 1
Br3 Br 0.1886 0.5000 0.1644 1
Br4 Br 0.2007 0.2968 0.1715 1
Br5 Br 0.2069 0.3938 0.4800 1
Br6 Br 0.2303 0.5000 0.7834 1
# calculated density: 4.64 g/cm³
# formation energy (no corrections): -11.74 eV/f.u.
# electronic total energy: -4.463 eV/atom

Question: Look up the electronic total energy of the seventh one.
Answer: -2.125 eV/atom

Question: electronic total energy of number 3 (TaTl4Mo)?
Answer: -4.001 eV/atom

Question: Number 4 is which compound?
Answer: SrTc2Mo

Question: Which of these has the lowest calculated density?
Answer: Nb3In2Br9